No. 1
A crystal of Tl2ReAu relaxed with PBEsol. Source: the Alexandria database, functional meta-GGA SCAN.

Calculated values
The calculation puts the formation energy at 891 meV per atom. The density is 16764 kg/m3. For the calculated total energy, the calculation gives -281.41 eV for the cell shown. The volume is 78 Å³/f.u.

Cell: 2.8967 5.0327 5.3810 Å, 90.00 90.00 90.00°
Last column: nearest neighbours and their distance in Å.
Space group Pmmm (No. 47)
Inequivalent atoms, fractional coordinates:
Tl (0.0000, 0.0000, 0.0000) (multiplicity 1)  6 Tl 2.90-3.06, 4 Au 2.90
Tl (0.5000, 0.0000, 0.5000) (multiplicity 1)  6 Tl 2.90-3.06, 4 Re 2.90
Re (0.0000, 0.5000, 0.5000) (multiplicity 1)  2 Re 2.90, 4 Tl 2.90, 4 Au 3.06
Au (0.5000, 0.5000, 0.0000) (multiplicity 1)  2 Au 2.90, 4 Tl 2.90, 4 Re 3.06


No. 2
A crystal of Tl2ReAu relaxed with PBEsol. Source: the Alexandria database, functional meta-GGA SCAN.

Calculated values
The calculation puts the formation energy at 909 meV per atom. The density is 16964 kg/m3. For the calculated total energy, the calculation gives -562.67 eV for the cell shown. The volume is 78 Å³/f.u.

Cell: 6.1799 9.6409 2.9554 Å, 90.00 118.30 90.00°
Last column: nearest neighbours and their distance in Å.
Space group C2/m (No. 12)
Inequivalent atoms, fractional coordinates:
Tl (0.2500, 0.2500, 0.0000) (multiplicity 4)  2 Re 2.86, 2 Au 2.86, 6 Tl 2.96-3.10
Re (0.0000, 0.0000, 0.0000) (multiplicity 2)  4 Tl 2.86, 2 Re 2.96, 4 Au 3.09-3.10
Au (0.0000, 0.5000, 0.0000) (multiplicity 2)  4 Tl 2.86, 2 Au 2.96, 4 Re 3.09-3.10


No. 3
A crystal of Re2WAu relaxed with PBEsol. Source: the Alexandria database, functional meta-GGA SCAN.

Calculated values
The calculation puts the formation energy at 320 meV per atom. The density is 20193 kg/m3. For the calculated total energy, the calculation gives -279.76 eV for the cell shown. The volume is 62 Å³/f.u.

Cell: 2.8118 3.9328 5.6011 Å, 90.00 90.00 90.00°
Last column: nearest neighbours and their distance in Å.
Space group Pmmm (No. 47)
Inequivalent atoms, fractional coordinates:
Re (0.0000, 0.0000, 0.2272) (multiplicity 2)  3 Re 2.55-2.81, 4 W 2.73
W (0.5000, 0.5000, 0.0000) (multiplicity 1)  8 Re 2.73, 2 Au 2.80, 2 W 2.81
Au (0.5000, 0.5000, 0.5000) (multiplicity 1)  2 W 2.80, 2 Au 2.81, 8 Re 2.86


No. 4
A crystal of ReWAu relaxed with PBEsol. Source: the Alexandria database, functional meta-GGA SCAN.

Calculated values
The calculation puts the formation energy at 780 meV per atom. The density is 17031 kg/m3. For the calculated total energy, the calculation gives -830.41 eV for the cell shown. The volume is 55 Å³/f.u.

Cell: 6.0472 6.0472 6.0472 Å, 90.00 90.00 90.00°
Last column: nearest neighbours and their distance in Å.
Space group F-43m (No. 216)
Inequivalent atoms, fractional coordinates:
Re (0.0000, 0.0000, 0.0000) (multiplicity 4)  4 W 2.62
W (0.2500, 0.2500, 0.7500) (multiplicity 4)  4 Re 2.62, 4 Au 2.62
Au (0.0000, 0.0000, 0.5000) (multiplicity 4)  4 W 2.62